Entry 1
This record from Alexandria describes crystalline La2Cd2Bi at its relaxed geometry. The functional is PBE.

Its space group is P4/mbm.

Cell lengths 8.0368, 8.0368, 4.7928 Å; angles 90.00, 90.00, 90.00 degrees
Element x y z (fractional)
Bi  0.5000  0.5000  0.0000
Bi  0.0000  0.0000  0.0000
La  0.1695  0.6695  0.5000
La  0.3305  0.1695  0.5000
La  0.8305  0.3305  0.5000
La  0.6695  0.8305  0.5000
Cd  0.1261  0.3739  0.0000
Cd  0.3739  0.8739  0.0000
Cd  0.6261  0.1261  0.0000
Cd  0.8739  0.6261  0.0000

Entry 2
This record from Alexandria describes crystalline La2Cd2Bi at its relaxed geometry. The functional is PBE.

Its space group is P4/mbm.

Cell lengths 9.0831, 9.0831, 3.9438 Å; angles 90.00, 90.00, 90.00 degrees
Element x y z (fractional)
Cd  0.1195  0.6195  0.5000
Cd  0.8805  0.3805  0.5000
Cd  0.6195  0.8805  0.5000
Cd  0.3805  0.1195  0.5000
La  0.3221  0.8221  0.0000
La  0.8221  0.6779  0.0000
La  0.6779  0.1779  0.0000
La  0.1779  0.3221  0.0000
Bi  0.5000  0.5000  0.0000
Bi  0.0000  0.0000  0.0000

Which one sits at the top of the stability order? entry 1 does.

Entry 1
This record from Alexandria describes crystalline La2CdBiRu at its relaxed geometry. The functional is PBE.

Its space group is P4/mmm.

Cell lengths 5.3791, 5.3791, 5.2259 Å; angles 90.00, 90.00, 90.00 degrees
Element x y z (fractional)
Bi  0.5000  0.5000  0.5000
Ru  0.0000  0.0000  0.0000
Cd  0.0000  0.0000  0.5000
La  0.5000  0.0000  0.0000
La  0.0000  0.5000  0.0000

Entry 2
This record from Alexandria describes crystalline La2CdBiRu at its relaxed geometry. The functional is PBE.

Its space group is P4/mmm.

Cell lengths 5.4548, 5.2887, 5.4548 Å; angles 90.00, 90.00, 90.00 degrees
Element x y z (fractional)
La  0.5000  0.0000  0.0000
La  0.0000  0.0000  0.5000
Bi  0.0000  0.5000  0.0000
Cd  0.5000  0.5000  0.5000
Ru  0.0000  0.0000  0.0000

Which one sits at the top of the stability order? entry 1 does.

Entry 1
This record from Alexandria describes crystalline Li2CdBi2 at its relaxed geometry. The functional is PBE.

Its space group is P4/mbm.

Cell lengths 8.4275, 8.4275, 3.3511 Å; angles 90.00, 90.00, 90.00 degrees
Element x y z (fractional)
Li  0.8821  0.6179  0.0000
Li  0.1179  0.3821  0.0000
Li  0.6179  0.1179  0.0000
Li  0.3821  0.8821  0.0000
Bi  0.1822  0.6822  0.5000
Bi  0.8178  0.3178  0.5000
Bi  0.3178  0.1822  0.5000
Bi  0.6822  0.8178  0.5000
Cd  0.0000  0.0000  0.0000
Cd  0.5000  0.5000  0.0000

Entry 2
This record from Alexandria describes crystalline Li2CdBi2 at its relaxed geometry. The functional is PBE.

Its space group is I4/mmm.

Cell lengths 4.6345, 4.6345, 6.9322 Å; angles 70.47, 70.47, 90.00 degrees
Element x y z (fractional)
Li  0.7500  0.2500  0.5000
Li  0.2500  0.7500  0.5000
Bi  0.3803  0.3803  0.2394
Bi  0.6197  0.6197  0.7605
Cd  0.0000  0.0000  0.0000

Entry 3
This record from Alexandria describes crystalline Li2CdBi2 at its relaxed geometry. The functional is PBE.

Its space group is P-6m2.

Cell lengths 4.9935, 4.9935, 6.2362 Å; angles 90.00, 90.00, 120.00 degrees
Element x y z (fractional)
Bi  0.6667  0.3333  0.0000
Bi  0.3333  0.6667  0.5000
Cd  0.3333  0.6667  0.0000
Li  0.0000  0.0000  0.7264
Li  0.0000  0.0000  0.2736

Entry 4
This record from Alexandria describes crystalline Li2CdBi2 at its relaxed geometry. The functional is PBE.

Its space group is P2_1/c.

Cell lengths 7.1642, 7.5628, 9.8594 Å; angles 90.00, 111.76, 90.00 degrees
Element x y z (fractional)
Bi  0.3370  0.1529  0.9837
Bi  0.6630  0.8471  0.0163
Bi  0.7610  0.4656  0.4693
Bi  0.2390  0.5344  0.5307
Bi  0.1630  0.6529  0.0163
Bi  0.8370  0.3471  0.9837
Bi  0.7390  0.9656  0.5307
Bi  0.2610  0.0344  0.4693
Li  0.5934  0.5010  0.1493
Li  0.4066  0.4990  0.8507
Li  0.9146  0.7700  0.3326
Li  0.5854  0.2700  0.6674
Li  0.0854  0.2300  0.6674
Li  0.4146  0.7300  0.3326
Li  0.9066  0.0010  0.8507
Li  0.0934  0.9990  0.1493
Cd  0.2006  0.8376  0.7384
Cd  0.7994  0.1624  0.2616
Cd  0.7006  0.6624  0.7384
Cd  0.2994  0.3376  0.2616

Which one sits at the top of the stability order? entry 4 does.

Entry 1
This record from Alexandria describes crystalline Li4CdBi2 at its relaxed geometry. The functional is PBE.

Its space group is P4/mmm.

Cell lengths 4.7682, 4.7682, 6.8625 Å; angles 90.00, 90.00, 90.00 degrees
Element x y z (fractional)
Li  0.0000  0.5000  0.7239
Li  0.5000  0.0000  0.2761
Li  0.0000  0.5000  0.2761
Li  0.5000  0.0000  0.7239
Bi  0.5000  0.5000  0.5000
Bi  0.0000  0.0000  0.0000
Cd  0.5000  0.5000  0.0000

Entry 2
This record from Alexandria describes crystalline Li4CdBi2 at its relaxed geometry. The functional is PBE.

Its space group is P2_1/m.

Cell lengths 7.7874, 5.2340, 9.2135 Å; angles 90.00, 123.42, 90.00 degrees
Element x y z (fractional)
Li  0.3894  0.0051  0.3076
Li  0.7471  0.2500  0.2703
Li  0.6106  0.9949  0.6924
Li  0.6106  0.5051  0.6924
Li  0.0270  0.7500  0.3583
Li  0.9730  0.2500  0.6417
Li  0.2529  0.7500  0.7297
Li  0.3894  0.4949  0.3076
Cd  0.9615  0.2500  0.0821
Cd  0.0385  0.7500  0.9179
Bi  0.7743  0.7500  0.5084
Bi  0.2257  0.2500  0.4916
Bi  0.3049  0.2500  0.9934
Bi  0.6951  0.7500  0.0066

Which one sits at the top of the stability order? entry 1 does.

Entry 1
This record from Alexandria describes crystalline Li3CdBi at its relaxed geometry. The functional is PBE.

Its space group is P2_1/c.

Cell lengths 5.6895, 8.1197, 11.2110 Å; angles 116.64, 90.00, 90.00 degrees
Element x y z (fractional)
Li  0.9191  0.6435  0.8722
Li  0.6591  0.3467  0.9366
Li  0.5809  0.6435  0.3722
Li  0.3409  0.6533  0.0634
Li  0.8409  0.3467  0.4366
Li  0.4191  0.3565  0.6278
Li  0.1591  0.6533  0.5634
Li  0.0809  0.3565  0.1278
Li  0.1243  0.9550  0.3623
Li  0.8757  0.0450  0.6377
Li  0.3757  0.9550  0.8623
Li  0.6243  0.0450  0.1377
Cd  0.1322  0.9764  0.0971
Cd  0.8678  0.0236  0.9029
Cd  0.6322  0.0236  0.4029
Cd  0.3678  0.9764  0.5971
Bi  0.1798  0.3062  0.8462
Bi  0.8202  0.6938  0.1538
Bi  0.6798  0.6938  0.6538
Bi  0.3202  0.3062  0.3462

Entry 2
This record from Alexandria describes crystalline Li3CdBi at its relaxed geometry. The functional is PBE.

Its space group is Pm-3m.

Cell lengths 5.3641, 5.3641, 5.3641 Å; angles 90.00, 90.00, 90.00 degrees
Element x y z (fractional)
Cd  0.5000  0.5000  0.5000
Li  0.0000  0.0000  0.5000
Li  0.0000  0.5000  0.0000
Li  0.5000  0.0000  0.0000
Bi  0.0000  0.0000  0.0000

Entry 3
This record from Alexandria describes crystalline Li3CdBi at its relaxed geometry. The functional is PBE.

Its space group is R-3m.

Cell lengths 8.2497, 8.2497, 8.2497 Å; angles 42.36, 42.36, 42.36 degrees
Element x y z (fractional)
Li  0.2360  0.2369  0.7481
Li  0.7631  0.2519  0.7640
Li  0.2369  0.7481  0.2360
Li  0.2519  0.7640  0.7631
Li  0.7640  0.7631  0.2519
Li  0.7481  0.2360  0.2369
Bi  0.3065  0.3065  0.3065
Bi  0.6935  0.6935  0.6935
Cd  0.1748  0.1748  0.1748
Cd  0.8252  0.8252  0.8252

Which one sits at the top of the stability order? entry 1 does.

Entry 1
This record from Alexandria describes crystalline LiCd4Bi at its relaxed geometry. The functional is PBE.

Its space group is C2/c.

Cell lengths 5.8818, 5.9814, 8.8767 Å; angles 70.31, 91.04, 93.07 degrees
Element x y z (fractional)
Li  0.2500  0.8214  0.8573
Li  0.7500  0.1786  0.1427
Cd  0.0871  0.7517  0.5281
Cd  0.2490  0.4089  0.1853
Cd  0.7510  0.5911  0.8147
Cd  0.9129  0.2483  0.4719
Cd  0.5871  0.7798  0.4719
Cd  0.7490  0.0942  0.8147
Cd  0.2510  0.9058  0.1853
Cd  0.4129  0.2202  0.5281
Bi  0.7500  0.6759  0.1483
Bi  0.2500  0.3241  0.8517

Entry 2
This record from Alexandria describes crystalline LiCd4Bi at its relaxed geometry. The functional is PBE.

Its space group is F-43m.

Cell lengths 5.9167, 5.9167, 5.9167 Å; angles 60.00, 60.00, 60.00 degrees
Element x y z (fractional)
Cd  0.6256  0.6256  0.6256
Cd  0.6256  0.1232  0.6256
Cd  0.6256  0.6256  0.1232
Cd  0.1232  0.6256  0.6256
Li  0.0000  0.0000  0.0000
Bi  0.2500  0.2500  0.2500

Which one sits at the top of the stability order? entry 1 does.

Entry 1
This record from Alexandria describes crystalline LiCdBi3 at its relaxed geometry. The functional is PBE.

Its space group is Pm-3m.

Cell lengths 5.7326, 5.7326, 5.7326 Å; angles 90.00, 90.00, 90.00 degrees
Element x y z (fractional)
Bi  0.5000  0.0000  0.0000
Bi  0.0000  0.0000  0.5000
Bi  0.0000  0.5000  0.0000
Li  0.5000  0.5000  0.5000
Cd  0.0000  0.0000  0.0000

Entry 2
This record from Alexandria describes crystalline LiCdBi3 at its relaxed geometry. The functional is PBE.

Its space group is Pm-3m.

Cell lengths 5.2378, 5.2378, 5.2378 Å; angles 90.00, 90.00, 90.00 degrees
Element x y z (fractional)
Bi  0.5000  0.0000  0.0000
Bi  0.0000  0.5000  0.0000
Bi  0.0000  0.0000  0.5000
Cd  0.5000  0.5000  0.5000
Li  0.0000  0.0000  0.0000

Which one sits at the top of the stability order? entry 2 does.

Entry 1
This record from Alexandria describes crystalline LuCdBi at its relaxed geometry. The functional is PBE.

Its space group is P3m1.

Cell lengths 4.3613, 4.7289, 4.7289 Å; angles 120.00, 90.00, 90.00 degrees
Element x y z (fractional)
Cd  0.9960  0.0000  0.0000
Bi  0.3110  0.3333  0.6667
Lu  0.6930  0.6667  0.3333

Entry 2
This record from Alexandria describes crystalline LuCdBi at its relaxed geometry. The functional is PBE.

Its space group is I4mm.

Cell lengths 3.3392, 3.3392, 8.5875 Å; angles 101.21, 101.21, 90.00 degrees
Element x y z (fractional)
Lu  0.7662  0.7662  0.5325
Bi  0.9508  0.9508  0.9017
Cd  0.1329  0.1329  0.2658

Which one sits at the top of the stability order? entry 1 does.